## Mg2SiHg (meta-GGA SCAN)

Data for a PBEsol-optimized structure of Mg2SiHg.

Lattice parameters (Å, degrees): 3.0893 4.9634 4.9781 90.00 90.00 90.00
Element x y z (fractional)
Hg  0.5000  0.5000  0.1514
Si  0.5000  0.0000  0.5998
Mg  0.0000  0.5000  0.6489
Mg  0.0000  0.0000  0.0999

Results
Space-group type: No. 25
M_tot (μB/f.u.): 0.0
ΔE_f (raw) (eV/f.u.): -0.222
DOS at the Fermi energy (states/eV per cell): 1.6